(1)
VASP calculation (GGA-PBE) on an optimized crystal structure of Ba2TbMgTe5.

## Properties
Formation energy (no corrections) = -1328 meV per atom

a b c (Å): 4.6599 20.1468 14.1010
angles (deg): 90.00 90.00 90.00
Last column: nearest neighbours and their distance in Å.
Space group Cmc2_1 (No. 36)
Unique sites:
Ba  0.0000  0.1128  0.0000 (multiplicity 4)  8 Te 3.51-3.86
Ba  0.0000  0.1279  0.6281 (multiplicity 4)  7 Te 3.47-3.67
Tb  0.0000  0.2081  0.3278 (multiplicity 4)  6 Te 3.04-3.16
Mg  0.0000  0.4407  0.7563 (multiplicity 4)  4 Te 2.75-2.91
Te  0.0000  0.0542  0.3658 (multiplicity 4)  2 Mg 2.80
Te  0.0000  0.2912  0.9736 (multiplicity 4)  2 Tb 3.11
Te  0.0000  0.3068  0.6783 (multiplicity 4)  1 Mg 2.91, 2 Tb 3.16
Te  0.0000  0.3588  0.3183 (multiplicity 4)  1 Tb 3.04
Te  0.0000  0.4960  0.0833 (multiplicity 4)  1 Mg 2.75

=====

(2)
VASP calculation (GGA-PBE) on an optimized crystal structure of ZnHIN2.

## Properties
Calculated total energy = -2.3930 eV/atom

a b c (Å): 4.2483 4.2483 3.5330
angles (deg): 90.00 90.00 90.00
Last column: nearest neighbours and their distance in Å.
Space group P4/mmm (No. 123)
Unique sites:
Zn  0.0000  0.0000  0.0000 (multiplicity 1)  8 N 2.76, 4 I 3.00
H  0.5000  0.5000  0.5000 (multiplicity 1)  2 I 1.77
I  0.5000  0.5000  0.0000 (multiplicity 1)  2 H 1.77
N  0.0000  0.5000  0.5000 (multiplicity 2)  2 H 2.12

=====

(3)
VASP calculation (GGA-PBE) on an optimized crystal structure of Li2B2Se5.

## Properties
Formation energy (no corrections) = -514 meV per atom

a b c (Å): 10.7933 5.3342 12.5710
angles (deg): 90.00 110.09 90.00
Last column: nearest neighbours and their distance in Å.
Space group C2/c (No. 15)
Unique sites:
Li  0.1245  0.0201  0.4318 (multiplicity 8)  5 Se 2.59-2.86
B  0.1405  0.4490  0.7074 (multiplicity 8)  4 Se 2.07-2.09
Se  0.0000  0.2468  0.7500 (multiplicity 4)  2 B 2.08
Se  0.0657  0.3350  0.0612 (multiplicity 8)  1 B 2.08
Se  0.2467  0.3203  0.3394 (multiplicity 8)  2 B 2.07-2.09

=====

(4)
VASP calculation (GGA-PBE) on an optimized crystal structure of Nd2InPd.

## Properties
Calculated total energy = -4.9763 eV/atom

a b c (Å): 3.6544 3.6544 7.9184
angles (deg): 90.00 90.00 90.00
Last column: nearest neighbours and their distance in Å.
Space group P4/mmm (No. 123)
Unique sites:
Nd  0.0000  0.0000  0.2247 (multiplicity 2)  4 Pd 3.14, 4 In 3.38
In  0.5000  0.5000  0.5000 (multiplicity 1)  8 Nd 3.38, 4 In 3.65
Pd  0.5000  0.5000  0.0000 (multiplicity 1)  8 Nd 3.14

=====

(5)
VASP calculation (GGA-PBE) on an optimized crystal structure of CaYTcPb2.

## Properties
Calculated total energy = -4.2427 eV/atom

a b c (Å): 5.6227 5.6227 4.6752
angles (deg): 90.00 90.00 90.00
Last column: nearest neighbours and their distance in Å.
Space group P4/mmm (No. 123)
Unique sites:
Ca  0.0000  0.0000  0.0000 (multiplicity 1)  2 Tc 2.34
Y  0.5000  0.5000  0.5000 (multiplicity 1)  8 Pb 3.66, 4 Tc 3.98
Tc  0.0000  0.0000  0.5000 (multiplicity 1)  2 Ca 2.34
Pb  0.0000  0.5000  0.0000 (multiplicity 2)  2 Ca 2.81

=====

(6)
VASP calculation (GGA-PBE) on an optimized crystal structure of KBeOsO5.

## Properties
Formation energy (no corrections) = -1451 meV per atom

a b c (Å): 6.8551 8.8600 7.2958
angles (deg): 90.00 116.63 90.00
Last column: nearest neighbours and their distance in Å.
Space group C2/c (No. 15)
Unique sites:
K  0.0000  0.1652  0.2500 (multiplicity 4)  5 O 2.46-2.58
Be  0.0000  0.1905  0.7500 (multiplicity 4)  4 O 1.67-1.71
Os  0.0000  0.5000  0.0000 (multiplicity 4)  6 O 1.89-1.91
O  0.0000  0.4425  0.2500 (multiplicity 4)  2 Os 1.89
O  0.0836  0.3035  0.6165 (multiplicity 8)  1 Be 1.67
O  0.2101  0.0727  0.8936 (multiplicity 8)  1 Be 1.71, 1 Os 1.89

=====

(7)
VASP calculation (GGA-PBE) on an optimized crystal structure of RbNaNpO4.

## Properties
Formation energy (no corrections) = -2405 meV per atom

a b c (Å): 4.3412 4.3412 13.9764
angles (deg): 90.00 90.00 90.00
Last column: nearest neighbours and their distance in Å.
Space group I4mm (No. 107)
Unique sites:
Rb  0.0000  0.0000  0.0000 (multiplicity 2)  5 O 2.77-3.09
Na  0.0000  0.0000  0.7311 (multiplicity 2)  4 O 2.58
Np  0.0000  0.0000  0.3348 (multiplicity 2)  2 O 1.91-1.92
O  0.0000  0.0000  0.1981 (multiplicity 2)  1 Np 1.91
O  0.0000  0.0000  0.4718 (multiplicity 2)  1 Np 1.92
O  0.0000  0.5000  0.3308 (multiplicity 4)  2 Np 2.17

=====

(8)
VASP calculation (GGA-PBE) on an optimized crystal structure of La2DyIn3.

## Properties
Calculated total energy = -4.0837 eV/atom

a b c (Å): 3.8266 29.8534 6.5970
angles (deg): 90.00 90.00 90.00
Last column: nearest neighbours and their distance in Å.
Space group Cmcm (No. 63)
Unique sites:
La  0.0000  0.0058  0.2500 (multiplicity 4)  2 La 3.32, 8 In 3.37-3.53
La  0.0000  0.1565  0.7500 (multiplicity 4)  6 In 3.34-3.40
Dy  0.0000  0.3319  0.7500 (multiplicity 4)  4 In 3.14-3.18
In  0.0000  0.2517  0.2500 (multiplicity 4)  2 Dy 3.14, 2 La 3.34
In  0.0000  0.4214  0.0119 (multiplicity 8)  2 In 3.14-3.46, 1 Dy 3.18, 4 La 3.37-3.40

=====

(9)
VASP calculation (GGA-PBE) on an optimized crystal structure of LiTiGe2.

## Properties
Calculated total energy = -5.0339 eV/atom

a b c (Å): 3.2344 3.2344 5.9820
angles (deg): 90.00 90.00 90.00
Last column: nearest neighbours and their distance in Å.
Space group P4/mmm (No. 123)
Unique sites:
Li  0.0000  0.0000  0.0000 (multiplicity 1)  8 Ge 2.70, 2 Ti 2.99
Ti  0.0000  0.0000  0.5000 (multiplicity 1)  8 Ge 2.77, 2 Li 2.99
Ge  0.5000  0.5000  0.2390 (multiplicity 2)  4 Li 2.70, 4 Ti 2.77, 1 Ge 2.86

=====

(10)
VASP calculation (GGA-PBE) on an optimized crystal structure of Li7SnHg4.

## Properties
Calculated total energy = -1.7980 eV/atom

a b c (Å): 13.3758 5.1278 8.1862
angles (deg): 90.00 120.56 90.00
Last column: nearest neighbours and their distance in Å.
Space group C2/m (No. 12)
Unique sites:
Li  0.0000  0.0000  0.0000 (multiplicity 2)  2 Sn 2.56, 4 Hg 2.66-2.79
Li  0.0738  0.5000  0.4090 (multiplicity 4)  3 Hg 2.75-3.01, 3 Li 2.93-3.04, 1 Sn 2.97
Li  0.1855  0.5000  0.8773 (multiplicity 4)  4 Hg 2.96-3.30, 6 Li 2.98-3.23, 1 Sn 3.11
Li  0.2412  0.5000  0.2786 (multiplicity 4)  4 Hg 2.63-2.77, 1 Sn 2.85, 1 Li 2.93
Sn  0.0000  0.5000  0.0000 (multiplicity 2)  4 Li 2.56-2.85
Hg  0.0624  0.0000  0.7222 (multiplicity 4)  2 Li 2.63-2.79
Hg  0.1909  0.0000  0.3421 (multiplicity 4)  5 Li 2.66-2.77

=====

(11)
VASP calculation (GGA-PBE) on an optimized crystal structure of Hf2MgP2.

## Properties
Calculated total energy = -7.3366 eV/atom

a b c (Å): 7.0967 7.0967 3.4458
angles (deg): 90.00 90.00 90.00
Last column: nearest neighbours and their distance in Å.
Space group P4/mbm (No. 127)
Unique sites:
Hf  0.1486  0.3514  0.0000 (multiplicity 4)  6 P 2.69-2.71, 1 Hf 2.98
Mg  0.0000  0.0000  0.5000 (multiplicity 2)  4 P 2.72
P  0.1453  0.6453  0.5000 (multiplicity 4)  6 Hf 2.69-2.71, 2 Mg 2.72, 1 P 2.92

=====

(12)
VASP calculation (GGA-PBE) on an optimized crystal structure of SmDy2Zr.

## Properties
Calculated total energy = -5.5142 eV/atom

a b c (Å): 4.8845 4.8845 4.8969
angles (deg): 90.00 90.00 90.00
Last column: nearest neighbours and their distance in Å.
Space group P4/mmm (No. 123)
Unique sites:
Sm  0.0000  0.0000  0.0000 (multiplicity 1)  4 Zr 3.45, 8 Dy 3.46
Dy  0.0000  0.5000  0.5000 (multiplicity 2)  4 Dy 3.45, 4 Zr 3.46, 4 Sm 3.46
Zr  0.5000  0.5000  0.0000 (multiplicity 1)  4 Sm 3.45, 8 Dy 3.46